Record 1
The following is a PBE calculation of an optimized crystal structure of Ba2LaIn3, from the Alexandria database.

Computed properties:
* electronic total energy: -19.5 eV per formula unit
* crystal system: orthorhombic

Cell lengths 5.8901, 17.9199, 8.2408 Å; angles 90.00, 90.00, 90.00 degrees
Last column: nearest neighbours and their distance in Å.
Space group Cmmm (No. 65)
One atom of each set of equivalent atoms:
Ba 0.0000 0.0000 0.0000  8 In 3.66-3.97
Ba 0.0000 0.0000 0.5000  8 In 3.53-3.64
Ba 0.0000 0.3347 0.0000  8 In 3.67-3.79
La 0.0000 0.3421 0.5000  8 In 3.43-3.45
In 0.0000 0.1778 0.2874  3 La 3.43-3.45, 1 In 3.50, 4 Ba 3.64-3.79
In 0.0000 0.5000 0.2636  2 La 3.43, 6 Ba 3.53-3.67

---

Record 2
The following is a PBE calculation of an optimized crystal structure of Ba2La2In, from the Alexandria database.

Computed properties:
* ΔE to the lowest computed polymorph: 0.0 kJ/mol of atoms
* crystal system: tetragonal

Cell lengths 8.3930, 8.3930, 6.0877 Å; angles 90.00, 90.00, 90.00 degrees
Last column: nearest neighbours and their distance in Å.
Space group P4/mbm (No. 127)
One atom of each set of equivalent atoms:
Ba 0.1773 0.3227 0.0000  6 La 3.83-3.99, 1 Ba 4.21
La 0.1268 0.6268 0.5000  1 La 3.01, 2 In 3.31
In 0.0000 0.0000 0.5000  4 La 3.31

---

Record 3
The following is a PBE calculation of an optimized crystal structure of Ba2La2In, from the Alexandria database.

Computed properties:
* ΔE to the lowest computed polymorph: 8.5 kJ/mol of atoms
* crystal system: tetragonal

Cell lengths 4.4972, 4.4972, 22.4211 Å; angles 90.00, 90.00, 90.00 degrees
Last column: nearest neighbours and their distance in Å.
Space group I4/mmm (No. 139)
One atom of each set of equivalent atoms:
Ba 0.0000 0.0000 0.0869  4 In 3.73, 1 Ba 3.90
La 0.0000 0.5000 0.2500  4 La 3.18
In 0.0000 0.0000 0.5000  8 Ba 3.73

---

Record 4
The following is a PBE calculation of an optimized crystal structure of BaLa2In, from the Alexandria database.

Computed properties:
* electronic total energy: -15.2 eV per formula unit
* crystal system: orthorhombic

Cell lengths 4.0847, 5.9935, 12.5594 Å; angles 90.00, 90.00, 90.00 degrees
Last column: nearest neighbours and their distance in Å.
Space group Immm (No. 71)
One atom of each set of equivalent atoms:
Ba 0.0000 0.0000 0.0000  4 In 3.63, 4 La 4.02
La 0.0000 0.5000 0.2137  2 In 3.37, 4 La 3.74
In 0.0000 0.0000 0.5000  4 La 3.37, 4 Ba 3.63

---

Record 5
The following is a PBE calculation of an optimized crystal structure of Ba3LaIn4, from the Alexandria database.

Computed properties:
* electronic total energy: -25.0 eV per formula unit
* crystal system: tetragonal

Cell lengths 4.1792, 4.1792, 16.9169 Å; angles 90.00, 90.00, 90.00 degrees
Last column: nearest neighbours and their distance in Å.
Space group P4/mmm (No. 123)
One atom of each set of equivalent atoms:
Ba 0.0000 0.0000 0.0000  8 In 3.65
Ba 0.0000 0.0000 0.2591  8 In 3.71-3.76, 1 La 4.08
La 0.0000 0.0000 0.5000  8 In 3.44
In 0.5000 0.5000 0.1267  8 Ba 3.65-3.71
In 0.5000 0.5000 0.3962  4 La 3.44, 1 In 3.51, 4 Ba 3.76

---

Record 6
The following is a PBE calculation of an optimized crystal structure of BaLaIn2, from the Alexandria database.

Computed properties:
* electronic total energy: -14.1 eV per formula unit
* crystal system: tetragonal

Cell lengths 4.1101, 4.1101, 8.2500 Å; angles 90.00, 90.00, 90.00 degrees
Last column: nearest neighbours and their distance in Å.
Space group P4/mmm (No. 123)
One atom of each set of equivalent atoms:
Ba 0.0000 0.0000 0.0000  8 In 3.73, 4 Ba 4.11, 2 La 4.12
La 0.0000 0.0000 0.5000  8 In 3.41
In 0.5000 0.5000 0.2830  4 La 3.41, 1 In 3.58, 4 Ba 3.73